The following is a PBE calculation of a geometry-optimized KTeF structure, from Alexandria via LeMat-Bulk.

Results
The calculation puts the calculated total energy at -0.2692 Ry per atom. As for the calculated volume: 29.92 Å³/atom. For the energy relative to the elements, uncorrected, the calculation gives -1.626 eV/atom.

Cell lengths 3.927, 6.747, 6.796 Å; angles 94.60, 90.00, 90.00 degrees
Sites, in units of the cell vectors:
K 0.000 0.440 0.942
K 0.000 0.114 0.269
F 0.000 0.046 0.878
F 0.500 0.339 0.166
Te 0.500 0.873 0.703
Te 0.000 0.647 0.476